Entry 1:
## NdDyNb2Si2 (PBE)

Data for a relaxed structure of NdDyNb2Si2.

Lattice parameters (Å, degrees): 4.027 4.027 7.971 90.00 90.00 90.00
Positions (direct):
1 Nd 0.000 0.000 0.000
2 Dy 0.500 0.500 0.705
3 Nb 0.000 0.500 0.360
4 Nb 0.500 0.000 0.360
5 Si 0.000 0.000 0.592
6 Si 0.500 0.500 0.129

Values from the calculation:
M_tot: 1.14 μB per formula unit
Final energy: -7.325 eV per atom

Entry 2:
## DyNpNb (PBE)

Data for a relaxed structure of DyNpNb.

Lattice parameters (Å, degrees): 6.821 6.821 6.821 90.00 90.00 90.00
Positions (direct):
1 Dy 0.000 0.000 0.000
2 Dy 0.000 0.500 0.500
3 Dy 0.500 0.000 0.500
4 Dy 0.500 0.500 0.000
5 Np 0.000 0.000 0.500
6 Np 0.000 0.500 0.000
7 Np 0.500 0.000 0.000
8 Np 0.500 0.500 0.500
9 Nb 0.250 0.250 0.250
10 Nb 0.250 0.750 0.750
11 Nb 0.750 0.250 0.750
12 Nb 0.750 0.750 0.250

Values from the calculation:
M_tot: 3.02 μB per formula unit
Energy relative to the elements: 0.9644 eV/atom
Final energy: -8.191 eV per atom

Entry 3:
## DyNb2O4 (PBE)

Data for a relaxed structure of DyNb2O4.

Lattice parameters (Å, degrees): 6.428 6.428 6.428 60.00 60.00 60.00
Positions (direct):
1 Dy 0.125 0.125 0.125
2 Dy 0.875 0.875 0.875
3 Nb 0.000 0.500 0.500
4 Nb 0.500 0.000 0.500
5 Nb 0.500 0.500 0.000
6 Nb 0.500 0.500 0.500
7 O 0.258 0.258 0.258
8 O 0.258 0.258 0.727
9 O 0.258 0.727 0.258
10 O 0.273 0.742 0.742
11 O 0.727 0.258 0.258
12 O 0.742 0.273 0.742
13 O 0.742 0.742 0.273
14 O 0.742 0.742 0.742

Values from the calculation:
M_tot: 0.84 μB per formula unit
Final energy: -8.572 eV per atom

Entry 4:
## DyNb2O6 (PBE)

Data for a relaxed structure of DyNb2O6.

Lattice parameters (Å, degrees): 8.023 8.023 5.309 96.04 96.04 37.61
Positions (direct):
1 Dy 0.247 0.753 0.750
2 Dy 0.753 0.247 0.250
3 Nb 0.118 0.534 0.271
4 Nb 0.466 0.882 0.229
5 Nb 0.534 0.118 0.771
6 Nb 0.882 0.466 0.729
7 O 0.002 0.842 0.386
8 O 0.158 0.998 0.114
9 O 0.231 0.239 0.466
10 O 0.239 0.231 0.966
11 O 0.348 0.457 0.017
12 O 0.457 0.348 0.517
13 O 0.543 0.652 0.483
14 O 0.652 0.543 0.983
15 O 0.761 0.769 0.034
16 O 0.769 0.761 0.534
17 O 0.842 0.002 0.886
18 O 0.998 0.158 0.614

Values from the calculation:
M_tot: 0.69 μB per formula unit
Final energy: -8.836 eV per atom

Entry 5:
## DyNbPO (PBE)

Data for a relaxed structure of DyNbPO.

Lattice parameters (Å, degrees): 3.845 7.132 5.615 90.00 90.00 90.00
Positions (direct):
1 Dy 0.000 0.211 0.000
2 Dy 0.000 0.789 0.500
3 Nb 0.500 0.400 0.516
4 Nb 0.500 0.600 0.016
5 P 0.000 0.176 0.491
6 P 0.000 0.824 0.991
7 O 0.500 0.324 0.886
8 O 0.500 0.676 0.386

Values from the calculation:
M_tot: 0.35 μB per formula unit
Final energy: -7.730 eV per atom

Entry 6:
## DyNbPO (PBE)

Data for a relaxed structure of DyNbPO.

Lattice parameters (Å, degrees): 3.935 3.935 8.738 90.00 90.00 90.00
Positions (direct):
1 Dy 0.250 0.250 0.125
2 Dy 0.750 0.750 0.875
3 Nb 0.250 0.750 0.500
4 Nb 0.750 0.250 0.500
5 P 0.250 0.250 0.690
6 P 0.750 0.750 0.310
7 O 0.250 0.750 0.000
8 O 0.750 0.250 0.000

Values from the calculation:
M_tot: 0.08 μB per formula unit
Final energy: -8.248 eV per atom

Entry 7:
## DyNbPO (PBE)

Data for a relaxed structure of DyNbPO.

Lattice parameters (Å, degrees): 4.159 4.159 7.473 90.00 90.00 90.00
Positions (direct):
1 Dy 0.250 0.750 0.000
2 Dy 0.750 0.250 0.000
3 Nb 0.250 0.250 0.397
4 Nb 0.750 0.750 0.603
5 P 0.250 0.250 0.753
6 P 0.750 0.750 0.247
7 O 0.250 0.750 0.500
8 O 0.750 0.250 0.500

Values from the calculation:
M_tot: 0.09 μB per formula unit
Final energy: -7.095 eV per atom

Entry 8:
## DyNbPO (PBE)

Data for a relaxed structure of DyNbPO.

Lattice parameters (Å, degrees): 4.188 4.719 6.555 90.00 90.00 90.00
Positions (direct):
1 Dy 0.000 0.162 0.000
2 Dy 0.000 0.838 0.500
3 Nb 0.500 0.364 0.352
4 Nb 0.500 0.636 0.852
5 P 0.500 0.141 0.704
6 P 0.500 0.859 0.204
7 O 0.000 0.365 0.348
8 O 0.000 0.635 0.848

Values from the calculation:
M_tot: 0.00 μB per formula unit
Final energy: -8.033 eV per atom